The following is a PBEsol calculation of a relaxed structure of InAg5, from Alexandria.

Summary:
Its formation energy is -0.025 eV/atom. The calculation puts the total magnetic moment at 0.00 μB per atom.

Structure (CIF):
```
data_InAg5
_cell_length_a 5.5283
_cell_length_b 5.5283
_cell_length_c 6.8971
_cell_angle_alpha 105.10
_cell_angle_beta 105.10
_cell_angle_gamma 30.77
_space_group_name_H-M_alt 'P 1'
_space_group_IT_number 1
loop_
_space_group_symop_operation_xyz
'x,y,z'
loop_
_atom_site_label
_atom_site_fract_x
_atom_site_fract_y
_atom_site_fract_z
In1 0.0000 0.0000 0.0000
Ag1 0.2796 0.2796 0.0633
Ag2 0.3326 0.3326 0.6636
Ag3 0.6148 0.6148 0.7232
Ag4 0.6698 0.6698 0.3389
Ag5 0.9479 0.9479 0.3963
```

=====

The following is a PBEsol calculation of a relaxed structure of In2Ag, from Alexandria.

Summary:
Its formation energy is -0.055 eV/atom. The calculation puts the total magnetic moment at 0.00 μB per atom.

Structure (CIF):
```
data_In2Ag
_cell_length_a 5.5691
_cell_length_b 5.5691
_cell_length_c 5.5691
_cell_angle_alpha 104.14
_cell_angle_beta 104.14
_cell_angle_gamma 120.76
_space_group_name_H-M_alt 'P 1'
_space_group_IT_number 1
loop_
_space_group_symop_operation_xyz
'x,y,z'
loop_
_atom_site_label
_atom_site_fract_x
_atom_site_fract_y
_atom_site_fract_z
In1 0.1548 0.6548 0.8096
In2 0.3452 0.1548 0.5000
In3 0.6548 0.8452 0.5000
In4 0.8452 0.3452 0.1904
Ag1 0.2500 0.2500 0.0000
Ag2 0.7500 0.7500 0.0000
```

=====

The following is a PBEsol calculation of a relaxed structure of In2Ag3, from Alexandria.

Summary:
Its formation energy is -0.005 eV/atom. The calculation puts the total magnetic moment at 0.00 μB per atom.

Structure (CIF):
```
data_In2Ag3
_cell_length_a 13.1046
_cell_length_b 4.9909
_cell_length_c 13.8500
_cell_angle_alpha 71.00
_cell_angle_beta 21.11
_cell_angle_gamma 87.89
_space_group_name_H-M_alt 'P 1'
_space_group_IT_number 1
loop_
_space_group_symop_operation_xyz
'x,y,z'
loop_
_atom_site_label
_atom_site_fract_x
_atom_site_fract_y
_atom_site_fract_z
In1 0.2710 0.7290 0.3334
In2 0.5834 0.9166 0.5210
In3 0.7290 0.2710 0.6666
In4 0.9166 0.5834 0.9790
Ag1 0.0626 0.9812 0.6275
Ag2 0.2476 0.2476 0.7524
Ag3 0.4976 0.4976 0.0024
Ag4 0.6225 0.9214 0.1874
Ag5 0.9214 0.6225 0.2688
Ag6 0.9812 0.0626 0.3286
```

=====

The following is a PBEsol calculation of a relaxed structure of InAg5, from Alexandria.

Summary:
Its formation energy is 0.005 eV/atom. The calculation puts the total magnetic moment at 0.00 μB per atom.

Structure (CIF):
```
data_InAg5
_cell_length_a 3.0046
_cell_length_b 3.0046
_cell_length_c 11.5943
_cell_angle_alpha 90.00
_cell_angle_beta 90.00
_cell_angle_gamma 90.00
_space_group_name_H-M_alt 'P 1'
_space_group_IT_number 1
loop_
_space_group_symop_operation_xyz
'x,y,z'
loop_
_atom_site_label
_atom_site_fract_x
_atom_site_fract_y
_atom_site_fract_z
In1 0.0000 0.0000 0.0000
Ag1 0.0000 0.0000 0.3396
Ag2 0.0000 0.0000 0.6604
Ag3 0.5000 0.5000 0.1767
Ag4 0.5000 0.5000 0.5000
Ag5 0.5000 0.5000 0.8233
```

=====

The following is a PBEsol calculation of a relaxed structure of In3Ag, from Alexandria.

Summary:
Its formation energy is 0.054 eV/atom. The calculation puts the total magnetic moment at 0.00 μB per atom.

Structure (CIF):
```
data_In3Ag
_cell_length_a 6.2895
_cell_length_b 6.2895
_cell_length_c 15.7590
_cell_angle_alpha 90.00
_cell_angle_beta 90.00
_cell_angle_gamma 120.00
_space_group_name_H-M_alt 'P 1'
_space_group_IT_number 1
loop_
_space_group_symop_operation_xyz
'x,y,z'
loop_
_atom_site_label
_atom_site_fract_x
_atom_site_fract_y
_atom_site_fract_z
In1 0.0065 0.5032 0.2500
In2 0.1667 0.3334 0.5834
In3 0.1667 0.3334 0.9166
In4 0.1667 0.8333 0.5834
In5 0.1667 0.8333 0.9166
In6 0.3334 0.1667 0.0834
In7 0.3334 0.1667 0.4166
In8 0.4968 0.5032 0.2500
In9 0.4968 0.9935 0.2500
In10 0.5032 0.0065 0.7500
In11 0.5032 0.4968 0.7500
In12 0.6666 0.8333 0.5834
In13 0.6666 0.8333 0.9166
In14 0.8333 0.1667 0.0834
In15 0.8333 0.1667 0.4166
In16 0.8333 0.6666 0.0834
In17 0.8333 0.6666 0.4166
In18 0.9935 0.4968 0.7500
Ag1 0.0000 0.0000 0.2500
Ag2 0.0000 0.0000 0.7500
Ag3 0.3333 0.6667 0.0814
Ag4 0.3333 0.6667 0.4186
Ag5 0.6667 0.3333 0.5814
Ag6 0.6667 0.3333 0.9186
```

=====

The following is a PBEsol calculation of a relaxed structure of In3Ag, from Alexandria.

Summary:
Its formation energy is -0.003 eV/atom. The calculation puts the total magnetic moment at 0.00 μB per atom.

Structure (CIF):
```
data_In3Ag
_cell_length_a 3.2188
_cell_length_b 3.2188
_cell_length_c 8.6570
_cell_angle_alpha 90.00
_cell_angle_beta 90.00
_cell_angle_gamma 90.00
_space_group_name_H-M_alt 'P 1'
_space_group_IT_number 1
loop_
_space_group_symop_operation_xyz
'x,y,z'
loop_
_atom_site_label
_atom_site_fract_x
_atom_site_fract_y
_atom_site_fract_z
In1 0.0000 0.0000 0.0000
In2 0.5000 0.5000 0.2796
In3 0.5000 0.5000 0.7204
Ag1 0.0000 0.0000 0.5000
```